(1)
Density functional theory data (PBE) for AcY2MgAu4 after structural relaxation.

Geometry as extended XYZ:
```
8
Lattice="-3.958 2.507 -1.848 -4.050 0.793 2.886 0.870 8.791 3.199" Properties=species:S:1:pos:R:3 pbc="T T T"
Mg -3.569 6.045 2.119
Au -0.429 5.967 2.152
Au -6.708 6.123 2.086
Au -4.671 3.650 1.230
Au -2.466 8.440 3.008
Y -1.624 3.370 1.189
Y -5.513 8.720 3.049
Ac 0.000 0.000 0.000
```

Output
As for the space-group type: R-3m, No. 166.



(2)
Density functional theory data (PBE) for AcMgZn2Au2 after structural relaxation.

Geometry as extended XYZ:
```
6
Lattice="4.584 0.000 0.000 -2.292 3.970 0.000 0.000 0.000 7.207" Properties=species:S:1:pos:R:3 pbc="T T T"
Zn 2.292 1.323 4.951
Zn 0.000 2.646 2.256
Ac 0.000 0.000 0.000
Au 0.000 2.646 5.079
Au 2.292 1.323 2.128
Mg 0.000 0.000 3.603
```

Output
As for the space-group type: P-3m1, No. 164.



(3)
Density functional theory data (PBE) for AcMgZnAu2 after structural relaxation.

Geometry as extended XYZ:
```
5
Lattice="-2.478 0.564 -3.471 -3.505 -0.738 2.383 2.577 6.243 1.841" Properties=species:S:1:pos:R:3 pbc="T T T"
Au -3.087 1.334 -0.245
Au -0.319 4.735 0.998
Ac 0.000 0.000 0.000
Zn -1.960 2.709 1.840
Mg -1.447 3.360 -1.087
```

Output
As for the space-group type: I-4m2, No. 119.



(4)
Density functional theory data (PBE) for AcMgZnAu6 after structural relaxation.

Geometry as extended XYZ:
```
18
Lattice="-7.652 0.252 1.495 -0.135 -9.510 0.910 4.935 5.116 4.042" Properties=species:S:1:pos:R:3 pbc="T T T"
Au 0.884 2.775 4.054
Au -1.249 0.156 1.635
Au -5.940 -4.410 2.991
Au -1.316 -4.562 2.087
Au 3.087 0.268 3.457
Au -1.537 0.421 4.360
Au -5.872 0.308 2.539
Au -3.736 -6.917 2.393
Au 3.020 -4.450 3.908
Au -1.604 -4.298 4.812
Au -2.867 2.936 5.183
Au 0.014 -7.078 1.264
Zn 2.467 2.558 2.021
Zn -1.359 2.684 2.769
Ac 0.521 -2.118 3.023
Ac -3.374 -2.024 3.424
Mg -3.894 -4.629 1.203
Mg -3.826 0.126 0.748
```

Output
As for the space-group type: Imma, No. 74.



(5)
Density functional theory data (PBE) for AcMgZnAu after structural relaxation.

Geometry as extended XYZ:
```
4
Lattice="-3.465 -3.079 -2.345 -3.445 -2.662 2.833 -5.019 1.334 -0.088" Properties=species:S:1:pos:R:3 pbc="T T T"
Ac 0.000 0.000 0.000
Au -8.947 -3.305 0.299
Zn -2.982 -1.102 0.100
Mg -5.965 -2.204 0.200
```

Output
As for the space-group type: F-43m, No. 216.



(6)
Density functional theory data (PBE) for Ac2MgZnAu6 after structural relaxation.

Geometry as extended XYZ:
```
10
Lattice="7.082 0.012 0.001 0.012 7.088 0.002 3.547 3.551 5.006" Properties=species:S:1:pos:R:3 pbc="T T T"
Ac 3.554 7.093 2.506
Ac 7.086 3.557 2.503
Au 5.339 5.348 5.006
Au 1.799 5.299 0.002
Au 5.301 5.302 0.003
Au 7.093 7.099 2.535
Au 8.841 5.351 5.007
Au 3.547 3.550 2.474
Mg 0.000 0.000 0.000
Zn 3.547 3.550 0.002
```

Output
As for the space-group type: Fmmm, No. 69.



(7)
Density functional theory data (PBE) for AcMgZn2Au4 after structural relaxation.

Geometry as extended XYZ:
```
8
Lattice="-2.087 0.659 4.006 -4.193 -1.667 0.691 1.552 -8.183 4.754" Properties=species:S:1:pos:R:3 pbc="T T T"
Au -4.868 -4.048 5.932
Au -3.450 -2.258 3.776
Au 0.140 -5.144 3.519
Au -1.278 -6.934 5.676
Mg -2.364 -4.596 4.726
Ac 0.000 0.000 0.000
Zn -3.698 -6.567 6.955
Zn -1.030 -2.625 2.496
```

Output
As for the space-group type: R-3m, No. 166.



(8)
Density functional theory data (PBE) for AcMgZnAu3 after structural relaxation.

Geometry as extended XYZ:
```
12
Lattice="7.105 0.000 0.000 0.000 6.379 0.000 0.000 -3.190 6.283" Properties=species:S:1:pos:R:3 pbc="T T T"
Au 1.776 0.000 2.131
Au 0.000 4.631 0.000
Au 3.553 1.749 0.000
Au 3.553 4.631 0.000
Au 0.000 1.749 0.000
Au 5.329 3.190 4.152
Ac 5.329 0.000 3.823
Ac 1.776 3.190 2.460
Zn 5.329 0.000 0.610
Zn 1.776 3.190 5.673
Mg 5.329 3.190 1.517
Mg 1.776 0.000 4.766
```

Output
As for the space-group type: Cmcm, No. 63.



(9)
Density functional theory data (PBE) for Ac2MgZn3Au4 after structural relaxation.

Geometry as extended XYZ:
```
10
Lattice="4.436 0.000 0.000 0.000 4.436 0.000 0.000 0.000 11.520" Properties=species:S:1:pos:R:3 pbc="T T T"
Zn 0.000 2.218 1.468
Zn 0.000 0.000 5.760
Zn 2.218 0.000 10.053
Au 0.000 0.000 0.000
Au 2.218 2.218 0.000
Au 0.000 2.218 4.120
Au 2.218 0.000 7.400
Mg 2.218 2.218 5.760
Ac 0.000 2.218 8.734
Ac 2.218 0.000 2.787
```

Output
As for the space-group type: P-4m2, No. 115.



(10)
Density functional theory data (PBE) for Ac2Mg4ZnAu3 after structural relaxation.

Geometry as extended XYZ:
```
10
Lattice="4.634 0.000 0.000 0.000 4.634 0.000 0.000 0.000 11.370" Properties=species:S:1:pos:R:3 pbc="T T T"
Au 0.000 2.317 1.579
Au 0.000 0.000 5.685
Au 2.317 0.000 9.791
Zn 2.317 2.317 5.685
Ac 2.317 0.000 2.991
Ac 0.000 2.317 8.379
Mg 0.000 0.000 0.000
Mg 2.317 0.000 7.073
Mg 0.000 2.317 4.298
Mg 2.317 2.317 0.000
```

Output
As for the space-group type: P-4m2, No. 115.



(11)
Density functional theory data (PBE) for AcMg2Zn2Au2 after structural relaxation.

Geometry as extended XYZ:
```
7
Lattice="-3.022 2.450 -2.395 -3.621 -2.050 -1.885 -6.775 1.557 5.785" Properties=species:S:1:pos:R:3 pbc="T T T"
Au -7.800 1.319 2.477
Au -5.619 0.638 -0.972
Zn -3.381 0.497 0.418
Zn -10.037 1.459 1.087
Ac 0.000 0.000 0.000
Mg -4.943 0.985 2.887
Mg -8.476 0.972 -1.382
```

Output
As for the space-group type: R-3m, No. 166.



(12)
Density functional theory data (PBE) for AcMg2ZnAu2 after structural relaxation.

Geometry as extended XYZ:
```
6
Lattice="-1.782 -4.941 0.133 3.170 -1.034 4.060 -4.823 4.574 1.532" Properties=species:S:1:pos:R:3 pbc="T T T"
Mg -2.955 -1.677 1.880
Mg -0.479 0.276 3.844
Zn 0.000 0.000 0.000
Au -1.633 -2.093 4.142
Au -1.801 0.692 1.582
Ac 0.694 -2.987 2.096
```

Output
As for the space-group type: I4/mmm, No. 139.



Formation energy list, top to bottom, in eV per atom: -0.77, -0.56, -0.63, -0.29, -0.45, -0.42, -0.53, -0.45, -0.58, -0.51, -0.44, -0.34